Record 1
# NdThIn

Crystalline NdThIn at its relaxed geometry (PBE-GGA, the Alexandria database).

Calculated values
The formation energy comes out at 0.000 eV per atom. The calculation puts the total energy at -0.1829 hartree per atom. The total magnetization comes out at 0.000 μB per atom. For the energy relative to the lowest polymorph listed for this composition, the calculation gives 0.252 eV per atom.

```
NdThIn
1.0
5.5143 0.0000 0.0000
-2.7571 4.7755 0.0000
0.0000 0.0000 3.2908
Nd Th In
1 1 1
direct
0.0000 0.0000 0.0000 Nd
0.3333 0.6667 0.9769 Th
0.6667 0.3333 0.4848 In
```

***

Record 2
# Nd5ThIn3

Crystalline Nd5ThIn3 at its relaxed geometry (PBE-GGA, the Alexandria database).

Calculated values
The formation energy comes out at -0.308 eV per atom. The calculation puts the total energy at -0.1725 hartree per atom. The total magnetization comes out at 0.169 μB per atom.

```
Nd5ThIn3
1.0
9.6575 0.0000 0.0000
-4.8288 8.3636 0.0000
0.0000 0.0000 6.8697
Nd Th In
10 2 6
direct
0.0000 0.3296 0.2500 Nd
0.0000 0.6704 0.7500 Nd
0.3296 0.0000 0.2500 Nd
0.3296 0.3296 0.7500 Nd
0.3333 0.6667 0.0000 Nd
0.3333 0.6667 0.5000 Nd
0.6667 0.3333 0.0000 Nd
0.6667 0.3333 0.5000 Nd
0.6704 0.0000 0.7500 Nd
0.6704 0.6704 0.2500 Nd
0.0000 0.0000 0.0000 Th
0.0000 0.0000 0.5000 Th
0.0000 0.3357 0.7500 In
0.0000 0.6643 0.2500 In
0.3357 0.0000 0.7500 In
0.3357 0.3357 0.2500 In
0.6643 0.0000 0.2500 In
0.6643 0.6643 0.7500 In
```

***

Record 3
# NdThIn2

Crystalline NdThIn2 at its relaxed geometry (PBE-GGA, the Alexandria database).

Calculated values
The formation energy comes out at -0.341 eV per atom. The calculation puts the total energy at -0.1748 hartree per atom. The total magnetization comes out at 0.000 μB per atom.

```
NdThIn2
1.0
5.7280 0.0000 0.0000
0.0000 3.5298 0.0000
0.0000 0.0000 11.4994
Nd Th In
2 2 4
direct
0.2500 0.0000 0.1218 Nd
0.7500 0.0000 0.8782 Nd
0.2500 0.0000 0.6197 Th
0.7500 0.0000 0.3803 Th
0.2500 0.5000 0.3684 In
0.2500 0.5000 0.8726 In
0.7500 0.5000 0.1274 In
0.7500 0.5000 0.6316 In
```

***

Record 4
# NdThIn2

Crystalline NdThIn2 at its relaxed geometry (PBE-GGA, the Alexandria database).

Calculated values
The formation energy comes out at -0.361 eV per atom. The calculation puts the total energy at -0.1756 hartree per atom. The total magnetization comes out at 0.000 μB per atom.

```
NdThIn2
1.0
5.0367 0.0000 0.0000
0.0000 5.0367 0.0000
0.0000 0.0000 4.5325
Nd Th In
1 1 2
direct
0.0000 0.0000 0.0000 Nd
0.5000 0.5000 0.0000 Th
0.0000 0.5000 0.5000 In
0.5000 0.0000 0.5000 In
```

***

Record 5
# NdThTlIn

Crystalline NdThTlIn at its relaxed geometry (PBE-GGA, the Alexandria database).

Calculated values
The formation energy comes out at -0.260 eV per atom. The calculation puts the total energy at -0.1684 hartree per atom. The total magnetization comes out at 0.000 μB per atom. For the energy relative to the lowest polymorph listed for this composition, the calculation gives 0.061 eV per atom.

```
NdThTlIn
1.0
0.0000 3.8963 3.8963
3.8963 0.0000 3.8963
3.8963 3.8963 0.0000
Nd Th Tl In
1 1 1 1
direct
0.0000 0.0000 0.0000 Nd
0.5000 0.5000 0.5000 Th
0.2500 0.2500 0.2500 Tl
0.7500 0.7500 0.7500 In
```

***

Record 6
# NdThTlIn

Crystalline NdThTlIn at its relaxed geometry (PBE-GGA, the Alexandria database).

Calculated values
The formation energy comes out at -0.321 eV per atom. The calculation puts the total energy at -0.1707 hartree per atom. The total magnetization comes out at 0.000 μB per atom. For the energy relative to the lowest polymorph listed for this composition, the calculation gives 0.000 eV per atom.

```
NdThTlIn
1.0
3.5770 0.0000 0.0000
0.0000 3.5770 0.0000
0.0000 0.0000 9.0756
Nd Th Tl In
1 1 1 1
direct
0.0000 0.0000 0.0000 Nd
0.0000 0.0000 0.4957 Th
0.5000 0.5000 0.7497 Tl
0.5000 0.5000 0.2465 In
```